This record from Alexandria via LeMat-Bulk describes a geometry-optimized Gd2HoPa structure. The functional is PBE.

## Properties
Energy relative to the elements   0.130 eV/atom
E above lowest polymorph   0.000 eV per atom
Space-group type   P4/mmm, No. 123
Electronic total energy   -10.429 eV/atom
Crystal system   tetragonal
Theoretical density   10.0 g/cm³

CIF file:
```
data_Gd2HoPa
_symmetry_space_group_name_H-M 'P 1'
_symmetry_Int_Tables_number 1
_symmetry_space_group_name_Hall 'P 1'
_cell_length_a 3.412
_cell_length_b 3.412
_cell_length_c 10.159
_cell_angle_alpha 90.00
_cell_angle_beta 90.00
_cell_angle_gamma 90.00
loop_
_atom_site_label
_atom_site_fract_x
_atom_site_fract_y
_atom_site_fract_z
Gd1 0.000 0.000 0.233
Gd2 0.000 0.000 0.767
Ho1 0.500 0.500 0.500
Pa1 0.500 0.500 0.000
```



This record from Alexandria via LeMat-Bulk describes a geometry-optimized GdHoPuPa structure. The functional is PBE.

## Properties
Energy relative to the elements   0.300 eV/atom
Space-group type   F-43m, No. 216
Electronic total energy   -10.322 eV/atom
Crystal system   cubic
Theoretical density   11.6 g/cm³

CIF file:
```
data_GdHoPuPa
_symmetry_space_group_name_H-M 'P 1'
_symmetry_Int_Tables_number 1
_symmetry_space_group_name_Hall 'P 1'
_cell_length_a 5.437
_cell_length_b 5.437
_cell_length_c 5.437
_cell_angle_alpha 60.00
_cell_angle_beta 60.00
_cell_angle_gamma 60.00
loop_
_atom_site_label
_atom_site_fract_x
_atom_site_fract_y
_atom_site_fract_z
Gd1 0.000 0.000 0.000
Ho1 0.750 0.750 0.750
Pu1 0.500 0.500 0.500
Pa1 0.250 0.250 0.250
```